No. 1
Compound: PuAlNi
Source: Alexandria via LeMat-Bulk
Functional: PBE-GGA
Structure: optimized geometry

a = 2.9730 Å, b = 2.9730 Å, c = 6.1450 Å
α = 104.00°, β = 104.00°, γ = 90.00°
Last column: nearest neighbours and their distance in Å.
Sites, in units of the cell vectors:
Ni 0.6901 0.6901 0.3803  4 Al 2.45
Al 0.2999 0.2999 0.5997  4 Ni 2.45
Pu 0.0100 0.0100 0.0200  4 Ni 2.96, 4 Pu 2.97, 4 Al 3.21

DOS(E_F), states/eV per atom: 2.3318
Crystal system: tetragonal
Raw total energy, eV/atom: -8.254
E_form, kJ/mol of atoms: -29.2
Symmetry: I4mm, No. 107

No. 2
Compound: PuAl9Ni2
Source: Alexandria via LeMat-Bulk
Functional: PBE-GGA
Structure: optimized geometry

a = 6.8392 Å, b = 8.2198 Å, c = 8.2198 Å
α = 80.03°, β = 65.42°, γ = 65.42°
Last column: nearest neighbours and their distance in Å.
Sites, in units of the cell vectors:
Pu 0.5000 0.0000 0.0000  18 Al 3.24-3.47
Pu 0.2500 0.5000 0.5000  18 Al 3.24-3.47
Al 0.7500 0.5000 0.5000  8 Al 2.77, 4 Ni 2.78
Al 0.0000 0.0000 0.0000  8 Al 2.77, 4 Ni 2.78
Al 0.0063 0.9246 0.6811  2 Ni 2.53-2.58, 6 Al 2.57-2.83
Al 0.6121 0.0754 0.3189  2 Ni 2.53-2.58, 6 Al 2.57-2.83
Al 0.6810 0.1811 0.5754  2 Ni 2.53-2.58, 6 Al 2.57-2.83
Al 0.4375 0.8189 0.4246  2 Ni 2.53-2.58, 6 Al 2.57-2.83
Al 0.7437 0.8189 0.5754  2 Ni 2.53-2.58, 6 Al 2.57-2.83
Al 0.1379 0.1811 0.4246  2 Ni 2.53-2.58, 6 Al 2.57-2.83
Al 0.0690 0.9246 0.3189  2 Ni 2.53-2.58, 6 Al 2.57-2.83
Al 0.3125 0.0754 0.6811  2 Ni 2.53-2.58, 6 Al 2.57-2.83
Al 0.7437 0.5754 0.8189  2 Ni 2.53-2.58, 6 Al 2.57-2.83
Al 0.1379 0.4246 0.1811  2 Ni 2.53-2.58, 6 Al 2.57-2.83
Al 0.0690 0.3189 0.9246  2 Ni 2.53-2.58, 6 Al 2.57-2.83
Al 0.3125 0.6811 0.0754  2 Ni 2.53-2.58, 6 Al 2.57-2.83
Al 0.0063 0.6811 0.9246  2 Ni 2.53-2.58, 6 Al 2.57-2.83
Al 0.6121 0.3189 0.0754  2 Ni 2.53-2.58, 6 Al 2.57-2.83
Al 0.6810 0.5754 0.1811  2 Ni 2.53-2.58, 6 Al 2.57-2.83
Al 0.4375 0.4246 0.8189  2 Ni 2.53-2.58, 6 Al 2.57-2.83
Ni 0.8750 0.2500 0.7500  10 Al 2.53-2.78
Ni 0.8750 0.7500 0.2500  10 Al 2.53-2.78
Ni 0.8750 0.2500 0.2500  10 Al 2.53-2.78
Ni 0.3750 0.7500 0.7500  10 Al 2.53-2.78

DOS(E_F), states/eV per atom: 0.7352
Crystal system: tetragonal
Raw total energy, eV/atom: -5.303
E_form, kJ/mol of atoms: -32.6
Symmetry: I4_1/amd, No. 141

No. 3
Compound: Pu2Al9Ni3
Source: Alexandria via LeMat-Bulk
Functional: PBE-GGA
Structure: optimized geometry

a = 7.4738 Å, b = 7.4738 Å, c = 10.2675 Å
α = 89.92°, β = 111.24°, γ = 120.28°
Last column: nearest neighbours and their distance in Å.
Sites, in units of the cell vectors:
Pu 0.3352 0.2474 0.7499  11 Al 2.98-3.07
Pu 0.6648 0.7526 0.2501  11 Al 2.98-3.07
Pu 0.9974 0.5853 0.7501  11 Al 2.98-3.07
Pu 0.0026 0.4147 0.2499  11 Al 2.98-3.07
Al 0.4534 0.9190 0.7476  2 Ni 2.48-2.52, 3 Al 2.75-2.77
Al 0.5466 0.0810 0.2524  2 Ni 2.48-2.52, 3 Al 2.75-2.77
Al 0.6714 0.7059 0.7524  2 Ni 2.48-2.52, 3 Al 2.75-2.77
Al 0.3286 0.2941 0.2476  2 Ni 2.48-2.52, 3 Al 2.75-2.77
Al 0.4476 0.6389 0.9274  3 Ni 2.52-2.59, 5 Al 2.75-2.82
Al 0.5524 0.3611 0.0726  3 Ni 2.52-2.59, 5 Al 2.75-2.82
Al 0.2116 0.5202 0.5726  3 Ni 2.52-2.59, 5 Al 2.75-2.82
Al 0.7884 0.4798 0.4274  3 Ni 2.52-2.59, 5 Al 2.75-2.82
Al 0.8843 0.1343 0.7500  2 Ni 2.50, 4 Al 2.76-2.77
Al 0.1157 0.8657 0.2500  2 Ni 2.50, 4 Al 2.76-2.77
Al 0.1348 0.9837 0.9467  3 Ni 2.52-2.57, 3 Al 2.72-2.76
Al 0.8652 0.0163 0.0533  3 Ni 2.52-2.57, 3 Al 2.72-2.76
Al 0.5371 0.1881 0.5533  3 Ni 2.52-2.57, 3 Al 2.72-2.76
Al 0.4629 0.8119 0.4467  3 Ni 2.52-2.57, 3 Al 2.72-2.76
Al 0.8825 0.8578 0.5711  3 Ni 2.55-2.58, 5 Al 2.75-2.81
Al 0.1175 0.1422 0.4289  3 Ni 2.55-2.58, 5 Al 2.75-2.81
Al 0.7867 0.3114 0.9289  3 Ni 2.55-2.58, 5 Al 2.75-2.81
Al 0.2133 0.6886 0.0711  3 Ni 2.55-2.58, 5 Al 2.75-2.81
Ni 0.5000 0.0000 0.0000  8 Al 2.52-2.59
Ni 0.5000 0.5000 0.5000  8 Al 2.52-2.59
Ni 0.8371 0.1690 0.4995  8 Al 2.48-2.59
Ni 0.1629 0.8310 0.5005  8 Al 2.48-2.59
Ni 0.1695 0.3376 0.0005  8 Al 2.48-2.59
Ni 0.8305 0.6624 0.9995  8 Al 2.48-2.59

DOS(E_F), states/eV per atom: 1.7271
Crystal system: monoclinic
Raw total energy, eV/atom: -6.161
E_form, kJ/mol of atoms: -45.3
Symmetry: C2/c, No. 15

No. 4
Compound: PuAl11Ni
Source: Alexandria via LeMat-Bulk
Functional: PBE-GGA
Structure: optimized geometry

a = 5.1605 Å, b = 7.0913 Å, c = 6.7874 Å
α = 82.86°, β = 67.66°, γ = 70.91°
Last column: nearest neighbours and their distance in Å.
Sites, in units of the cell vectors:
Pu 0.0000 0.0000 0.0000  18 Al 3.24-3.55
Al 0.2893 0.2255 0.2125  1 Ni 2.56, 5 Al 2.67-2.77
Al 0.7107 0.7745 0.7875  1 Ni 2.56, 5 Al 2.67-2.77
Al 0.4981 0.7745 0.2125  1 Ni 2.56, 5 Al 2.67-2.77
Al 0.5019 0.2255 0.7875  1 Ni 2.56, 5 Al 2.67-2.77
Al 0.3565 0.6430 0.6524  8 Al 2.70-2.95, 1 Ni 2.72
Al 0.6435 0.3570 0.3476  8 Al 2.70-2.95, 1 Ni 2.72
Al 0.9912 0.3570 0.6524  8 Al 2.70-2.95, 1 Ni 2.72
Al 0.0088 0.6430 0.3476  8 Al 2.70-2.95, 1 Ni 2.72
Al 0.0000 0.5000 0.0000  2 Ni 2.58, 8 Al 2.67-2.70
Al 0.5000 0.0000 0.5000  8 Al 2.58-2.83
Al 0.0000 0.0000 0.5000  8 Al 2.58-2.83
Ni 0.5000 0.5000 0.0000  10 Al 2.56-2.72

DOS(E_F), states/eV per atom: 0.8104
Crystal system: monoclinic
Raw total energy, eV/atom: -4.898
E_form, kJ/mol of atoms: -17.7
Symmetry: C2/m, No. 12

Which formula does entry 4 have?
PuAl11Ni

The highest DOS(E_F) belongs to which entry?
PuAlNi